(1)
Below is a crystal of LaSbPb2 relaxed with PBEsol, with properties calculated at the SCAN level.

## Properties
**Energy**: -58.5312 eV per atom
**Size of the total moment**: 0.00 μB per atom
**Formation energy (no corrections)**: -0.5492 eV per atom

a = 4.203 Å, b = 4.203 Å, c = 6.620 Å
α = 90.00°, β = 90.00°, γ = 90.00°
Space group P4mm (No. 99)
Asymmetric unit:
La: 0.000 0.000 0.000 (multiplicity 1)
Sb: 0.500 0.500 0.776 (multiplicity 1)
Pb: 0.000 0.000 0.511 (multiplicity 1)
Pb: 0.500 0.500 0.280 (multiplicity 1)

---

(2)
Below is a crystal of MnRh2W relaxed with PBEsol, with properties calculated at the SCAN level.

## Properties
**Energy**: -39.1514 eV per atom
**Size of the total moment**: 0.85 μB per atom
**Formation enthalpy at 0 K**: -0.2799 eV/atom
**Polymorph energy (0 for the lowest one)**: 0.000 eV per atom

a = 2.724 Å, b = 3.726 Å, c = 5.382 Å
α = 90.00°, β = 90.00°, γ = 90.00°
Space group Pmmm (No. 47)
Asymmetric unit:
Mn: 0.000 0.000 0.000 (multiplicity 1)
Rh: 0.500 0.500 0.244 (multiplicity 2)
W: 0.000 0.000 0.500 (multiplicity 1)

---

(3)
Below is a crystal of Zr2AgSe relaxed with PBEsol, with properties calculated at the SCAN level.

## Properties
**Energy**: -28.7711 eV per atom
**Size of the total moment**: 0.00 μB per atom
**Formation energy (no corrections)**: -0.5604 eV per atom

a = 3.7602 Å, b = 3.7602 Å, c = 20.0206 Å
α = 90.00°, β = 90.00°, γ = 120.00°
Space group R-3m (No. 166, hexagonal axes)
Asymmetric unit:
Zr: 0.0000 0.0000 0.2420 (multiplicity 6)
Ag: 0.0000 0.0000 0.0000 (multiplicity 3)
Se: 0.0000 0.0000 0.5000 (multiplicity 3)

---

(4)
Below is a crystal of Li3GdBi2 relaxed with PBEsol, with properties calculated at the SCAN level.

## Properties
**Energy**: -37.9209 eV per atom
**Size of the total moment**: 1.17 μB per atom
**Formation enthalpy at 0 K**: -0.7302 eV/atom

a = 4.6222 Å, b = 4.6222 Å, c = 7.2306 Å
α = 90.00°, β = 90.00°, γ = 120.00°
Space group P-3m1 (No. 164)
Asymmetric unit:
Li: 0.0000 0.0000 0.0000 (multiplicity 1)
Li: 0.3333 0.6667 0.1510 (multiplicity 2)
Gd: 0.0000 0.0000 0.5000 (multiplicity 1)
Bi: 0.3333 0.6667 0.7462 (multiplicity 2)